Version one
Material: ScFeS3
Method: DFT, meta-GGA SCAN
State: PBEsol geometry

Cell lengths 4.4054, 4.4054, 4.4054 Å; angles 90.00, 90.00, 90.00 degrees
Closest atoms and distances in Å follow each position.
Fractional positions:
Sc 0.5000 0.5000 0.5000  12 S 3.12
S 0.0000 0.5000 0.0000  2 Fe 2.20
S 0.0000 0.0000 0.5000  2 Fe 2.20
S 0.5000 0.0000 0.0000  2 Fe 2.20
Fe 0.0000 0.0000 0.0000  6 S 2.20

## Properties
SG: Pm-3m, No. 221
Density of states at the Fermi level, states/eV per cell: 2.87

=====

Version two
Material: ScFeS3
Method: DFT, meta-GGA SCAN
State: PBEsol geometry

Cell lengths 4.7981, 4.7981, 4.7981 Å; angles 90.00, 90.00, 90.00 degrees
Closest atoms and distances in Å follow each position.
Fractional positions:
Sc 0.0000 0.0000 0.0000  6 S 2.40
S 0.0000 0.5000 0.0000  2 Sc 2.40
S 0.0000 0.0000 0.5000  2 Sc 2.40
S 0.5000 0.0000 0.0000  2 Sc 2.40
Fe 0.5000 0.5000 0.5000  12 S 3.39

## Properties
SG: Pm-3m, No. 221
Density of states at the Fermi level, states/eV per cell: 6.55

=====

Winner for stability: version one

=====

Version one
Material: FeSeS2
Method: DFT, meta-GGA SCAN
State: PBEsol geometry

Cell lengths 3.4154, 3.4154, 7.7201 Å; angles 77.22, 77.22, 60.00 degrees
Closest atoms and distances in Å follow each position.
Fractional positions:
S 0.9071 0.9071 0.2787  1 Fe 2.08
S 0.0929 0.0929 0.7213  1 Fe 2.08
Fe 0.0000 0.0000 0.0000  2 S 2.08
Se 0.5000 0.5000 0.5000  6 S 2.57

## Properties
SG: R-3m, No. 166
Density of states at the Fermi level, states/eV per cell: 2.12

=====

Version two
Material: FeSeS2
Method: DFT, meta-GGA SCAN
State: PBEsol geometry

Cell lengths 5.9218, 5.8446, 5.9218 Å; angles 59.56, 90.00, 120.44 degrees
Closest atoms and distances in Å follow each position.
Fractional positions:
S 0.2014 0.7500 0.8750  2 Fe 2.07
S 0.5486 0.7500 0.3750  2 Fe 2.07
S 0.3750 0.2500 0.2014  2 Fe 2.07
S 0.8750 0.2500 0.5486  2 Fe 2.07
Fe 0.2500 0.5000 0.2500  4 S 2.07
Fe 0.5000 0.0000 0.5000  4 S 2.07
Se 0.7500 0.5000 0.7500  4 S 2.64
Se 0.0000 0.0000 0.0000  4 S 2.64

## Properties
SG: I-42d, No. 122
Density of states at the Fermi level, states/eV per cell: 6.25

=====

Winner for stability: version two

=====

Version one
Material: Fe3WS
Method: DFT, meta-GGA SCAN
State: PBEsol geometry

Cell lengths 4.0171, 4.0171, 4.0171 Å; angles 90.00, 90.00, 90.00 degrees
Closest atoms and distances in Å follow each position.
Fractional positions:
S 0.0000 0.0000 0.0000  6 Fe 2.01
Fe 0.0000 0.5000 0.0000  2 S 2.01
Fe 0.0000 0.0000 0.5000  2 S 2.01
Fe 0.5000 0.0000 0.0000  2 S 2.01
W 0.5000 0.5000 0.5000  12 Fe 2.84

## Properties
SG: Pm-3m, No. 221
Density of states at the Fermi level, states/eV per cell: 3.98

=====

Version two
Material: Fe3WS
Method: DFT, meta-GGA SCAN
State: PBEsol geometry

Cell lengths 4.4517, 4.4517, 4.4517 Å; angles 90.00, 90.00, 90.00 degrees
Closest atoms and distances in Å follow each position.
Fractional positions:
S 0.5000 0.5000 0.5000  12 Fe 3.15
Fe 0.0000 0.5000 0.0000  2 W 2.23
Fe 0.0000 0.0000 0.5000  2 W 2.23
Fe 0.5000 0.0000 0.0000  2 W 2.23
W 0.0000 0.0000 0.0000  6 Fe 2.23

## Properties
SG: Pm-3m, No. 221
Density of states at the Fermi level, states/eV per cell: 6.84

=====

Winner for stability: version one

=====

Version one
Material: ScFeSb2
Method: DFT, meta-GGA SCAN
State: PBEsol geometry

Cell lengths 3.7145, 4.5741, 4.5741 Å; angles 90.00, 90.00, 90.00 degrees
Closest atoms and distances in Å follow each position.
Fractional positions:
Fe 0.5000 0.0000 0.0000  8 Sb 2.95, 4 Sc 3.23
Sb 0.0000 0.0000 0.5000  4 Sc 2.95, 4 Fe 2.95, 4 Sb 3.23
Sb 0.0000 0.5000 0.0000  4 Sc 2.95, 4 Fe 2.95, 4 Sb 3.23
Sc 0.5000 0.5000 0.5000  8 Sb 2.95, 4 Fe 3.23

## Properties
SG: P4/mmm, No. 123
Density of states at the Fermi level, states/eV per cell: 2.69

=====

Version two
Material: ScFeSb2
Method: DFT, meta-GGA SCAN
State: PBEsol geometry

Cell lengths 4.3687, 4.3687, 9.7156 Å; angles 102.99, 102.99, 90.00 degrees
Closest atoms and distances in Å follow each position.
Fractional positions:
Sc 0.7500 0.2500 0.5000  4 Sb 2.82, 4 Fe 3.09
Sc 0.5000 0.5000 0.0000  4 Sb 2.82, 4 Fe 3.09
Sb 0.3482 0.8750 0.2500  2 Fe 2.73, 2 Sc 2.82, 2 Sb 2.93
Sb 0.9018 0.3750 0.2500  2 Fe 2.73, 2 Sc 2.82, 2 Sb 2.93
Sb 0.1250 0.0982 0.7500  2 Fe 2.73, 2 Sc 2.82, 2 Sb 2.93
Sb 0.6250 0.6518 0.7500  2 Fe 2.73, 2 Sc 2.82, 2 Sb 2.93
Fe 0.2500 0.7500 0.5000  4 Sb 2.73
Fe 0.0000 0.0000 0.0000  4 Sb 2.73

## Properties
SG: I-42d, No. 122
Density of states at the Fermi level, states/eV per cell: 7.35

=====

Version three
Material: ScFeSb2
Method: DFT, meta-GGA SCAN
State: PBEsol geometry

Cell lengths 4.7774, 4.7774, 4.7774 Å; angles 60.00, 60.00, 60.00 degrees
Closest atoms and distances in Å follow each position.
Fractional positions:
Sc 0.0000 0.0000 0.0000  8 Sb 2.93
Sb 0.2500 0.2500 0.2500  4 Fe 2.93, 4 Sc 2.93
Sb 0.7500 0.7500 0.7500  4 Sc 2.93, 4 Fe 2.93
Fe 0.5000 0.5000 0.5000  8 Sb 2.93

## Properties
SG: Fm-3m, No. 225
Density of states at the Fermi level, states/eV per cell: 3.11

=====

Winner for stability: version one

=====

Version one
Material: ScFeSb2Te
Method: DFT, meta-GGA SCAN
State: PBEsol geometry

Cell lengths 5.3705, 5.3705, 5.3147 Å; angles 90.00, 90.00, 90.00 degrees
Closest atoms and distances in Å follow each position.
Fractional positions:
Sc 0.0000 0.0000 0.0000  2 Te 2.66, 4 Sb 2.69
Sb 0.0000 0.5000 0.0000  2 Sc 2.69
Sb 0.5000 0.0000 0.0000  2 Sc 2.69
Te 0.0000 0.0000 0.5000  2 Sc 2.66
Fe 0.5000 0.5000 0.5000  8 Sb 3.78, 4 Te 3.80

## Properties
SG: P4/mmm, No. 123
Density of states at the Fermi level, states/eV per cell: 5.73

=====

Version two
Material: ScFeSb2Te
Method: DFT, meta-GGA SCAN
State: PBEsol geometry

Cell lengths 4.7029, 4.7029, 5.5245 Å; angles 90.00, 90.00, 90.00 degrees
Closest atoms and distances in Å follow each position.
Fractional positions:
Sc 0.5000 0.5000 0.5000  4 Te 3.33, 8 Sb 3.63
Sb 0.0000 0.5000 0.0000  2 Fe 2.35
Sb 0.5000 0.0000 0.0000  2 Fe 2.35
Te 0.0000 0.0000 0.5000  2 Fe 2.76
Fe 0.0000 0.0000 0.0000  4 Sb 2.35

## Properties
SG: P4/mmm, No. 123
Density of states at the Fermi level, states/eV per cell: 4.00

=====

Winner for stability: version two

=====

Version one
Material: TlFeSb2
Method: DFT, meta-GGA SCAN
State: PBEsol geometry

Cell lengths 5.0283, 5.0283, 5.0283 Å; angles 60.00, 60.00, 60.00 degrees
Closest atoms and distances in Å follow each position.
Fractional positions:
Fe 0.0000 0.0000 0.0000  8 Sb 3.08
Sb 0.2500 0.2500 0.2500  4 Tl 3.08, 4 Fe 3.08
Sb 0.7500 0.7500 0.7500  4 Fe 3.08, 4 Tl 3.08
Tl 0.5000 0.5000 0.5000  8 Sb 3.08

## Properties
SG: Fm-3m, No. 225
Density of states at the Fermi level, states/eV per cell: 3.22

=====

Version two
Material: TlFeSb2
Method: DFT, meta-GGA SCAN
State: PBEsol geometry

Cell lengths 3.2803, 3.2803, 10.0595 Å; angles 80.62, 80.62, 60.00 degrees
Closest atoms and distances in Å follow each position.
Fractional positions:
Fe 0.0000 0.0000 0.0000  6 Sb 2.61
Sb 0.2728 0.2728 0.1817  3 Fe 2.61
Sb 0.7272 0.7272 0.8183  3 Fe 2.61
Tl 0.5000 0.5000 0.5000  6 Tl 3.28, 6 Sb 3.67

## Properties
SG: R-3m, No. 166
Density of states at the Fermi level, states/eV per cell: 2.45

=====

Winner for stability: version two